(1)
The following is a GGA-PBE calculation of an optimized crystal structure of CsSrZn, from OQMD.

The calculation puts the energy above the most stable polymorph in this dataset at 0.321 eV/f.u.

The structure belongs to space group F-43m (No. 216); the cell edges are 8.837, 8.837 and 8.837 Å and the angles 90.00°, 90.00° and 90.00°. The inequivalent atoms are Cs at (0.000, 0.000, 0.000), Sr at (0.250, 0.250, 0.750) and Zn at (0.250, 0.250, 0.250).

(2)
The following is a GGA-PBE calculation of an optimized crystal structure of Re2Sb, from OQMD.

The calculation puts the energy above the most stable polymorph in this dataset at 9.270 eV/f.u.

The structure belongs to space group Fd-3m (No. 227, origin choice 2); the cell edges are 12.355, 12.355 and 12.355 Å and the angles 90.00°, 90.00° and 90.00°. The inequivalent atoms are Re at (0.000, 0.000, 0.000) and Sb at (0.125, 0.125, 0.125).

(3)
The following is a GGA-PBE calculation of an optimized crystal structure of Hf3CuSn5, from OQMD.

The structure belongs to space group P6/mmm (No. 191); the cell edges are 5.9280, 5.9280 and 7.7597 Å and the angles 90.00°, 90.00° and 120.00°. The inequivalent atoms are Hf at (0.0000, 0.5000, 0.0000), Cu at (0.0000, 0.0000, 0.5000), Sn at (0.0000, 0.0000, 0.0000) and Sn at (0.3333, 0.6667, 0.3199).

Ordered E results: -0.671, -5.764, -5.742; unit eV per atom.